Computed, not measured: a geometry-optimized BaCuSb structure at the PBE level of DFT.

Properties
Space group: P2_1/c, No. 14
D(E_F): 0.221 states/eV/atom
Formation energy (no corrections): -584 meV/atom

Unit cell a=6.848 b=7.191 c=8.344 alpha=90.00 beta=119.08 gamma=90.00
Fractional coordinates of all 12 atoms:
1 Ba 0.195 0.131 0.372
2 Ba 0.195 0.369 0.872
3 Ba 0.805 0.631 0.128
4 Ba 0.805 0.869 0.628
5 Cu 0.424 0.580 0.345
6 Cu 0.424 0.920 0.845
7 Cu 0.576 0.080 0.155
8 Cu 0.576 0.420 0.655
9 Sb 0.278 0.681 0.579
10 Sb 0.278 0.819 0.079
11 Sb 0.722 0.181 0.921
12 Sb 0.722 0.319 0.421